[1]
DFT (PBE) results for a relaxed structure of Ti4VCo3.

The value obtained for the density of states at the Fermi level is 9.8 states/eV/cell. The calculation puts the spin magnetization at 0.0 μB per cell. For the energy of formation from the pure elements, the calculation gives -0.28 eV per atom. The calculation puts the volume at 13.50 A^3/atom.

The structure belongs to space group Pmmm (No. 47); the cell edges are 3.0242, 4.1930 and 8.5173 Å and the angles 90.00°, 90.00° and 90.00°. The asymmetric unit holds Ti at (0.0000, 0.0000, 0.0000), Ti at (0.0000, 0.0000, 0.5000), Ti at (0.0000, 0.5000, 0.2439), V at (0.5000, 0.5000, 0.5000), Co at (0.5000, 0.0000, 0.2397) and Co at (0.5000, 0.5000, 0.0000).

---

[2]
DFT (PBE) results for a relaxed structure of TiV3Co7.

The value obtained for the density of states at the Fermi level is 26.7 states/eV/cell. The calculation puts the spin magnetization at 0.0 μB per cell. For the energy of formation from the pure elements, the calculation gives 0.15 eV per atom. The calculation puts the volume at 12.34 A^3/atom.

The structure belongs to space group C2/m (No. 12); the cell edges are 7.8223, 8.6647 and 4.3337 Å and the angles 90.00°, 112.43° and 90.00°. The asymmetric unit holds Ti at (0.0000, 0.0000, 0.0000), V at (0.0000, 0.2733, 0.5000), V at (0.0000, 0.5000, 0.0000), Co at (0.0000, 0.0000, 0.5000), Co at (0.1847, 0.5000, 0.6246) and Co at (0.1999, 0.3050, 0.1963).

---

> What is the energy of formation from the pure elements in the first record?

-0.28 eV per atom

---

> Which value of spin magnetization does entry 2 give?

0.0 μB per cell

---

> Which formula does entry 1 have?

Ti4VCo3